Material: MnAsBr2N
Method: DFT, PBE-GGA
State: relaxed

POSCAR file:
```
MnAsBr2N
1.0
-3.406 -3.137 -1.083
0.954 -2.413 3.986
-3.073 2.549 2.279
Br N Mn As
2 1 1 1
Direct
0.000 0.500 0.000
0.500 0.000 0.000
0.500 0.500 0.500
0.000 0.000 0.000
0.000 0.000 0.500
```

Output
- E above lowest polymorph: 52.8 kJ/mol of atoms
- Space group: P4/mmm (123)
- Uncorrected formation energy: 147.9 kJ/mol of atoms
- Theoretical density: 4.85 g/cm³
- Calculated volume: 20.79 Å³ per atom